{"formula": "Ac3In5H12", "functional": "PBE", "state": "optimized geometry", "lattice_angstrom": [[-6.866, 6.866, 6.866], [6.866, -6.866, 6.866], [6.866, 6.866, -6.866]], "species": ["Ac", "Ac", "Ac", "Ac", "Ac", "Ac", "Ac", "Ac", "Ac", "Ac", "Ac", "Ac", "In", "In", "In", "In", "In", "In", "In", "In", "In", "In", "In", "In", "In", "In", "In", "In", "In", "In", "In", "In", "H", "H", "H", "H", "H", "H", "H", "H", "H", "H", "H", "H", "H", "H", "H", "H", "H", "H", "H", "H", "H", "H", "H", "H", "H", "H", "H", "H", "H", "H", "H", "H", "H", "H", "H", "H", "H", "H", "H", "H", "H", "H", "H", "H", "H", "H", "H", "H"], "frac_coords": [[0.125, 0.250, 0.375], [0.125, 0.375, 0.750], [0.250, 0.375, 0.125], [0.250, 0.875, 0.625], [0.375, 0.125, 0.250], [0.375, 0.750, 0.125], [0.625, 0.250, 0.875], [0.625, 0.875, 0.750], [0.750, 0.125, 0.375], [0.750, 0.625, 0.875], [0.875, 0.625, 0.250], [0.875, 0.750, 0.625], [0.000, 0.000, 0.000], [0.000, 0.000, 0.500], [0.000, 0.500, 0.000], [0.000, 0.500, 0.500], [0.125, 0.750, 0.875], [0.125, 0.875, 0.250], [0.250, 0.125, 0.875], [0.250, 0.625, 0.375], [0.375, 0.250, 0.625], [0.375, 0.625, 0.750], [0.500, 0.000, 0.000], [0.500, 0.000, 0.500], [0.500, 0.500, 0.000], [0.500, 0.500, 0.500], [0.625, 0.375, 0.250], [0.625, 0.750, 0.375], [0.750, 0.375, 0.625], [0.750, 0.875, 0.125], [0.875, 0.125, 0.750], [0.875, 0.250, 0.125], [0.062, 0.222, 0.141], [0.062, 0.340, 0.921], [0.079, 0.641, 0.419], [0.079, 0.938, 0.660], [0.081, 0.722, 0.660], [0.081, 0.859, 0.421], [0.141, 0.062, 0.222], [0.141, 0.579, 0.919], [0.160, 0.222, 0.581], [0.160, 0.438, 0.579], [0.222, 0.141, 0.062], [0.222, 0.581, 0.160], [0.278, 0.340, 0.919], [0.278, 0.438, 0.359], [0.340, 0.919, 0.278], [0.340, 0.921, 0.062], [0.359, 0.278, 0.438], [0.359, 0.581, 0.921], [0.419, 0.079, 0.641], [0.419, 0.840, 0.778], [0.421, 0.081, 0.859], [0.421, 0.840, 0.562], [0.438, 0.359, 0.278], [0.438, 0.579, 0.160], [0.562, 0.421, 0.840], [0.562, 0.641, 0.722], [0.579, 0.160, 0.438], [0.579, 0.919, 0.141], [0.581, 0.160, 0.222], [0.581, 0.921, 0.359], [0.641, 0.419, 0.079], [0.641, 0.722, 0.562], [0.660, 0.079, 0.938], [0.660, 0.081, 0.722], [0.722, 0.562, 0.641], [0.722, 0.660, 0.081], [0.778, 0.419, 0.840], [0.778, 0.859, 0.938], [0.840, 0.562, 0.421], [0.840, 0.778, 0.419], [0.859, 0.421, 0.081], [0.859, 0.938, 0.778], [0.919, 0.141, 0.579], [0.919, 0.278, 0.340], [0.921, 0.062, 0.340], [0.921, 0.359, 0.581], [0.938, 0.660, 0.079], [0.938, 0.778, 0.859]], "energy_ev_per_atom": -3.28, "total_magnetization_mub_per_cell": 0.000, "spacegroup": "Ia-3d (230)", "dos_ef_per_ev_fu": 8.9}